(1)
## CdIn2Pd (PBE)

Data for a relaxed CdIn2Pd crystal.

Cell and atoms, written as CIF:
```
data_CdIn2Pd
_chemical_formula_sum 'Cd4 In8 Pd4'
_space_group_name_H-M_alt 'F -4 3 m'
_space_group_IT_number 216
_space_group_name_Hall 'F -4 2 3'
_cell_length_a 7.002
_cell_length_b 7.002
_cell_length_c 7.002
_cell_angle_alpha 90.00
_cell_angle_beta 90.00
_cell_angle_gamma 90.00
loop_
_atom_site_label
_atom_site_type_symbol
_atom_site_fract_x
_atom_site_fract_y
_atom_site_fract_z
Cd1 Cd 0.000 0.000 0.000
In1 In 0.000 0.000 0.500
In2 In 0.250 0.250 0.250
Pd1 Pd 0.250 0.250 0.750
```

(2)
## Cd2InPd (PBE)

Data for a relaxed Cd2InPd crystal.

Cell and atoms, written as CIF:
```
data_Cd2InPd
_chemical_formula_sum 'Cd8 In4 Pd4'
_space_group_name_H-M_alt 'F -4 3 m'
_space_group_IT_number 216
_space_group_name_Hall 'F -4 2 3'
_cell_length_a 6.776
_cell_length_b 6.776
_cell_length_c 6.776
_cell_angle_alpha 90.00
_cell_angle_beta 90.00
_cell_angle_gamma 90.00
loop_
_atom_site_label
_atom_site_type_symbol
_atom_site_fract_x
_atom_site_fract_y
_atom_site_fract_z
Cd1 Cd 0.000 0.000 0.000
Cd2 Cd 0.250 0.250 0.250
In1 In 0.000 0.000 0.500
Pd1 Pd 0.250 0.250 0.750
```

(3)
## CdIn2Pd (PBE)

Data for a relaxed CdIn2Pd crystal.

Cell and atoms, written as CIF:
```
data_CdIn2Pd
_chemical_formula_sum 'Cd2 In4 Pd2'
_space_group_name_H-M_alt 'I 4/m m m'
_space_group_IT_number 139
_space_group_name_Hall '-I 4 2'
_cell_length_a 4.391
_cell_length_b 4.391
_cell_length_c 8.629
_cell_angle_alpha 90.00
_cell_angle_beta 90.00
_cell_angle_gamma 90.00
loop_
_atom_site_label
_atom_site_type_symbol
_atom_site_fract_x
_atom_site_fract_y
_atom_site_fract_z
Cd1 Cd 0.000 0.000 0.000
In1 In 0.000 0.500 0.250
Pd1 Pd 0.000 0.000 0.500
```

(4)
## Sm3Cd3InPd2 (PBE)

Data for a relaxed Sm3Cd3InPd2 crystal.

## Properties
Its total magnetization is 0.001 μB per atom.

Cell and atoms, written as CIF:
```
data_Sm3Cd3InPd2
_chemical_formula_sum 'Sm3 Cd3 In1 Pd2'
_space_group_name_H-M_alt 'P -6 2 m'
_space_group_IT_number 189
_space_group_name_Hall 'P -6 -2'
_cell_length_a 7.8596
_cell_length_b 7.8596
_cell_length_c 3.9850
_cell_angle_alpha 90.00
_cell_angle_beta 90.00
_cell_angle_gamma 120.00
loop_
_atom_site_label
_atom_site_type_symbol
_atom_site_fract_x
_atom_site_fract_y
_atom_site_fract_z
Sm1 Sm 0.0000 0.4150 0.0000
Cd1 Cd 0.0000 0.7311 0.5000
In1 In 0.0000 0.0000 0.0000
Pd1 Pd 0.3333 0.6667 0.5000
```

(5)
## SrCdIn2Pd (PBE)

Data for a relaxed SrCdIn2Pd crystal.

Cell and atoms, written as CIF:
```
data_SrCdIn2Pd
_chemical_formula_sum 'Sr2 Cd2 In4 Pd2'
_space_group_name_H-M_alt 'P 4/n m m'
_space_group_IT_number 129
_cell_length_a 4.652
_cell_length_b 4.652
_cell_length_c 11.956
_cell_angle_alpha 90.00
_cell_angle_beta 90.00
_cell_angle_gamma 90.00
loop_
_space_group_symop_operation_xyz
'x,y,z'
'-x,-y,-z'
'-y+1/2,x,z'
'y+1/2,-x,-z'
'-x+1/2,-y+1/2,z'
'x+1/2,y+1/2,-z'
'y,-x+1/2,z'
'-y,x+1/2,-z'
'x+1/2,-y,-z'
'-x+1/2,y,z'
'-y,-x,-z'
'y,x,z'
'-x,y+1/2,-z'
'x,-y+1/2,z'
'y+1/2,x+1/2,-z'
'-y+1/2,-x+1/2,z'
loop_
_atom_site_label
_atom_site_type_symbol
_atom_site_fract_x
_atom_site_fract_y
_atom_site_fract_z
Sr1 Sr 0.250 0.250 0.237
Cd1 Cd 0.250 0.750 0.500
In1 In 0.250 0.250 0.654
In2 In 0.250 0.750 0.000
Pd1 Pd 0.250 0.250 0.877
```

(6)
## Pm3Cd4In2 (PBE)

Data for a relaxed Pm3Cd4In2 crystal.

## Properties
Its total magnetization is 0.003 μB per atom.

Cell and atoms, written as CIF:
```
data_Pm3Cd4In2
_chemical_formula_sum 'Pm6 Cd8 In4'
_space_group_name_H-M_alt 'C 1 2/m 1'
_space_group_IT_number 12
_cell_length_a 11.244
_cell_length_b 4.986
_cell_length_c 9.413
_cell_angle_alpha 90.00
_cell_angle_beta 117.49
_cell_angle_gamma 90.00
loop_
_space_group_symop_operation_xyz
'x,y,z'
'-x,-y,-z'
'-x,y,-z'
'x,-y,z'
'x+1/2,y+1/2,z'
'-x+1/2,-y+1/2,-z'
'-x+1/2,y+1/2,-z'
'x+1/2,-y+1/2,z'
loop_
_atom_site_label
_atom_site_type_symbol
_atom_site_fract_x
_atom_site_fract_y
_atom_site_fract_z
Pm1 Pm 0.000 0.000 0.000
Pm2 Pm 0.166 0.500 0.670
Cd1 Cd 0.075 0.000 0.410
Cd2 Cd 0.206 0.500 0.036
In1 In 0.109 0.500 0.275
```

(7)
## Pr3Cd4In2 (PBE)

Data for a relaxed Pr3Cd4In2 crystal.

## Properties
Its total magnetization is 0.003 μB per atom.

Cell and atoms, written as CIF:
```
data_Pr3Cd4In2
_chemical_formula_sum 'Pr6 Cd8 In4'
_space_group_name_H-M_alt 'C 1 2/m 1'
_space_group_IT_number 12
_cell_length_a 11.374
_cell_length_b 5.020
_cell_length_c 9.491
_cell_angle_alpha 90.00
_cell_angle_beta 116.99
_cell_angle_gamma 90.00
loop_
_space_group_symop_operation_xyz
'x,y,z'
'-x,-y,-z'
'-x,y,-z'
'x,-y,z'
'x+1/2,y+1/2,z'
'-x+1/2,-y+1/2,-z'
'-x+1/2,y+1/2,-z'
'x+1/2,-y+1/2,z'
loop_
_atom_site_label
_atom_site_type_symbol
_atom_site_fract_x
_atom_site_fract_y
_atom_site_fract_z
Pr1 Pr 0.000 0.000 0.000
Pr2 Pr 0.166 0.500 0.671
Cd1 Cd 0.075 0.000 0.410
Cd2 Cd 0.206 0.500 0.037
In1 In 0.110 0.500 0.276
```

(8)
## PrCdInSe3 (PBE)

Data for a relaxed PrCdInSe3 crystal.

## Properties
Its total magnetization is 0.001 μB per atom.

Cell and atoms, written as CIF:
```
data_PrCdInSe3
_chemical_formula_sum 'Pr4 Cd4 In4 Se12'
_space_group_name_H-M_alt 'C 1 2/m 1'
_space_group_IT_number 12
_cell_length_a 18.005
_cell_length_b 4.298
_cell_length_c 9.462
_cell_angle_alpha 90.00
_cell_angle_beta 105.84
_cell_angle_gamma 90.00
loop_
_space_group_symop_operation_xyz
'x,y,z'
'-x,-y,-z'
'-x,y,-z'
'x,-y,z'
'x+1/2,y+1/2,z'
'-x+1/2,-y+1/2,-z'
'-x+1/2,y+1/2,-z'
'x+1/2,-y+1/2,z'
loop_
_atom_site_label
_atom_site_type_symbol
_atom_site_fract_x
_atom_site_fract_y
_atom_site_fract_z
Pr1 Pr 0.176 0.000 0.106
Cd1 Cd 0.008 0.500 0.212
In1 In 0.133 0.000 0.569
Se1 Se 0.000 0.000 0.000
Se2 Se 0.000 0.500 0.500
Se3 Se 0.158 0.500 0.874
Se4 Se 0.166 0.500 0.312
```

(9)
## PrCdInSe3 (PBE)

Data for a relaxed PrCdInSe3 crystal.

## Properties
Its total magnetization is 0.000 μB per atom.

Cell and atoms, written as CIF:
```
data_PrCdInSe3
_chemical_formula_sum 'Pr4 Cd4 In4 Se12'
_space_group_name_H-M_alt 'C m c m'
_space_group_IT_number 63
_space_group_name_Hall '-C 2c 2'
_cell_length_a 4.339
_cell_length_b 14.411
_cell_length_c 11.440
_cell_angle_alpha 90.00
_cell_angle_beta 90.00
_cell_angle_gamma 90.00
loop_
_atom_site_label
_atom_site_type_symbol
_atom_site_fract_x
_atom_site_fract_y
_atom_site_fract_z
Pr1 Pr 0.000 0.000 0.000
Cd1 Cd 0.000 0.462 0.250
In1 In 0.000 0.250 0.750
Se1 Se 0.000 0.077 0.250
Se2 Se 0.000 0.363 0.057
```

(10)
## PrCdInSe3 (PBE)

Data for a relaxed PrCdInSe3 crystal.

## Properties
Its total magnetization is 0.002 μB per atom.

Cell and atoms, written as CIF:
```
data_PrCdInSe3
_chemical_formula_sum 'Pr2 Cd2 In2 Se6'
_space_group_name_H-M_alt 'P 1 21/m 1'
_space_group_IT_number 11
_cell_length_a 8.210
_cell_length_b 4.354
_cell_length_c 10.734
_cell_angle_alpha 90.00
_cell_angle_beta 104.96
_cell_angle_gamma 90.00
loop_
_space_group_symop_operation_xyz
'x,y,z'
'-x,-y,-z'
'-x,y+1/2,-z'
'x,-y+1/2,z'
loop_
_atom_site_label
_atom_site_type_symbol
_atom_site_fract_x
_atom_site_fract_y
_atom_site_fract_z
Pr1 Pr 0.205 0.250 0.130
Cd1 Cd 0.428 0.750 0.388
In1 In 0.225 0.750 0.719
Se1 Se 0.043 0.250 0.852
Se2 Se 0.257 0.250 0.435
Se3 Se 0.458 0.750 0.148
```

(11)
## PrCdInSe3 (PBE)

Data for a relaxed PrCdInSe3 crystal.

## Properties
Its total magnetization is 0.001 μB per atom.

Cell and atoms, written as CIF:
```
data_PrCdInSe3
_chemical_formula_sum 'Pr4 Cd4 In4 Se12'
_space_group_name_H-M_alt 'P n m a'
_space_group_IT_number 62
_cell_length_a 14.443
_cell_length_b 4.350
_cell_length_c 11.664
_cell_angle_alpha 90.00
_cell_angle_beta 90.00
_cell_angle_gamma 90.00
loop_
_space_group_symop_operation_xyz
'x,y,z'
'-x,-y,-z'
'-x+1/2,-y,z+1/2'
'x+1/2,y,-z+1/2'
'x+1/2,-y+1/2,-z+1/2'
'-x+1/2,y+1/2,z+1/2'
'-x,y+1/2,-z'
'x,-y+1/2,z'
loop_
_atom_site_label
_atom_site_type_symbol
_atom_site_fract_x
_atom_site_fract_y
_atom_site_fract_z
Pr1 Pr 0.030 0.250 0.156
Cd1 Cd 0.024 0.750 0.399
In1 In 0.248 0.250 0.462
Se1 Se 0.088 0.750 0.620
Se2 Se 0.102 0.250 0.921
Se3 Se 0.155 0.750 0.237
```

(12)
## PrCdInSe3 (PBE)

Data for a relaxed PrCdInSe3 crystal.

## Properties
Its total magnetization is 0.001 μB per atom.

Cell and atoms, written as CIF:
```
data_PrCdInSe3
_chemical_formula_sum 'Pr4 Cd4 In4 Se12'
_space_group_name_H-M_alt 'P n m a'
_space_group_IT_number 62
_cell_length_a 12.281
_cell_length_b 4.454
_cell_length_c 12.589
_cell_angle_alpha 90.00
_cell_angle_beta 90.00
_cell_angle_gamma 90.00
loop_
_space_group_symop_operation_xyz
'x,y,z'
'-x,-y,-z'
'-x+1/2,-y,z+1/2'
'x+1/2,y,-z+1/2'
'x+1/2,-y+1/2,-z+1/2'
'-x+1/2,y+1/2,z+1/2'
'-x,y+1/2,-z'
'x,-y+1/2,z'
loop_
_atom_site_label
_atom_site_type_symbol
_atom_site_fract_x
_atom_site_fract_y
_atom_site_fract_z
Pr1 Pr 0.022 0.250 0.176
Cd1 Cd 0.247 0.750 0.302
In1 In 0.161 0.250 0.507
Se1 Se 0.033 0.750 0.343
Se2 Se 0.092 0.250 0.940
Se3 Se 0.228 0.750 0.682
```

Computed calculated total energy, in the same sequence as the records: -47.09 -41.20 -24.20 -35.13 -31.21 -54.18 -54.45 -98.63 -99.65 -49.74 -99.60 -99.65 eV per cell.